Material: Cr3Rh2O8
Method: DFT, PBE with a Hubbard U
State: relaxed

## Properties
E in eV/atom: -7.220
Space group: C2/m (12)
M_tot in μB per cell: 8.0

a b c (Å): 5.533 5.533 4.998
angles (deg): 90.95 90.95 66.49
Atoms (fractional coordinates):
Cr  0.000  0.000  0.000
Cr  0.254  0.746  0.500
Cr  0.746  0.254  0.500
Rh  0.271  0.271  0.013
Rh  0.729  0.729  0.987
O  0.104  0.636  0.836
O  0.112  0.112  0.678
O  0.364  0.896  0.164
O  0.397  0.397  0.331
O  0.603  0.603  0.669
O  0.636  0.104  0.836
O  0.888  0.888  0.322
O  0.896  0.364  0.164